! YTe3As, relaxed, DFT PBE; values from VASP
! symmetry = Pm-3m (221)
! polymorph energy (0 for the lowest one) = 0.338 eV per atom
! energy = -3.88 eV per atom
! uncorrected formation energy = 0.23 eV/atom
&SYSTEM
  ibrav = 0, nat = 5, ntyp = 3
/
ATOMIC_SPECIES
Y 88.91 Y.upf
Te 127.60 Te.upf
As 74.92 As.upf
CELL_PARAMETERS angstrom
5.839 0.000 0.000
0.000 5.839 0.000
0.000 0.000 5.839
ATOMIC_POSITIONS crystal
Y 0.000 0.000 0.000
Te 0.000 0.000 0.500
Te 0.000 0.500 0.000
Te 0.500 0.000 0.000
As 0.500 0.500 0.500